# ScSbIN2

A geometry-optimized ScSbIN2 structure (PBE, Alexandria).

abc: 4.1250 4.1250 6.0852
angles: 90.00 90.00 90.00
With the nearest neighbours (Å) after each atom.
Fractional positions:
Sc1 0.5000 0.5000 0.5000  4 I 2.92
N1 0.0000 0.5000 0.0000  2 Sb 2.06
N2 0.5000 0.0000 0.0000  2 Sb 2.06
I1 0.0000 0.0000 0.5000  4 Sc 2.92, 2 Sb 3.04
Sb1 0.0000 0.0000 0.0000  4 N 2.06

The energy above the most stable polymorph in this dataset comes out at 0.227 eV/atom. Its space-group type is P4/mmm (123).